Here is a geometry-optimized Er4InHg7 structure from Alexandria via LeMat-Bulk. Energies are from GGA-PBE.

Values from the calculation:
density of states at the Fermi level	5.56	states/eV/f.u.
energy	-26.105	eV/f.u.

Structure (CIF):
```
data_Er4InHg7
_chemical_formula_sum 'Er8 In2 Hg14'
_symmetry_space_group_name_H-M 'C 1 2/m 1'
_symmetry_Int_Tables_number 12
_symmetry_space_group_name_Hall '-C 2y'
_cell_length_a 12.761
_cell_length_b 5.366
_cell_length_c 10.838
_cell_angle_alpha 90.00
_cell_angle_beta 121.24
_cell_angle_gamma 90.00
loop_
_atom_site_label
_atom_site_type_symbol
_atom_site_fract_x
_atom_site_fract_y
_atom_site_fract_z
Er1 Er 0.082 0.000 0.276
Er2 Er 0.237 0.000 0.821
In1 In 0.000 0.500 0.500
Hg1 Hg 0.000 0.000 0.500
Hg2 Hg 0.071 0.500 0.848
Hg3 Hg 0.139 0.000 0.036
Hg4 Hg 0.200 0.500 0.415
```